Entry 1:
Density functional theory data (SCAN) for a crystal of Ta3PbI relaxed with PBEsol.

a = 5.1381 Å, b = 5.1381 Å, c = 5.1381 Å
α = 90.00°, β = 90.00°, γ = 90.00°
Last column: nearest neighbours and their distance in Å.
Fractional coordinates of all 5 atoms:
Ta (0.0000, 0.0000, 0.5000)  2 Pb 2.57
Ta (0.0000, 0.5000, 0.0000)  2 Pb 2.57
Ta (0.5000, 0.0000, 0.0000)  2 Pb 2.57
Pb (0.0000, 0.0000, 0.0000)  6 Ta 2.57
I (0.5000, 0.5000, 0.5000)  12 Ta 3.63

Properties
ΔE_f (raw) in eV per atom: 2.5870
SG: Pm-3m
VASP energy in eV/atom: -59.868

***

Entry 2:
Density functional theory data (SCAN) for a crystal of SrMgCl2 relaxed with PBEsol.

a = 4.8975 Å, b = 4.8975 Å, c = 4.1237 Å
α = 90.00°, β = 90.00°, γ = 90.00°
Last column: nearest neighbours and their distance in Å.
Fractional coordinates of all 4 atoms:
Sr (0.0000, 0.0000, 0.0000)  8 Cl 3.20, 4 Mg 3.46
Mg (0.5000, 0.5000, 0.0000)  8 Cl 3.20, 4 Sr 3.46
Cl (0.0000, 0.5000, 0.5000)  4 Mg 3.20, 4 Sr 3.20, 4 Cl 3.46
Cl (0.5000, 0.0000, 0.5000)  4 Mg 3.20, 4 Sr 3.20, 4 Cl 3.46

Properties
ΔE_f (raw) in eV per atom: -1.3660
SG: P4/mmm
VASP energy in eV/atom: -12.167
Offset from the most stable computed form in meV per atom: 290.2

***

Entry 3:
Density functional theory data (SCAN) for a crystal of SbP2Os relaxed with PBEsol.

a = 4.4817 Å, b = 4.4817 Å, c = 4.4817 Å
α = 60.00°, β = 60.00°, γ = 60.00°
Last column: nearest neighbours and their distance in Å.
Fractional coordinates of all 4 atoms:
Sb (0.0000, 0.0000, 0.0000)  4 Os 2.74, 4 P 2.74
P (0.5000, 0.5000, 0.5000)  4 Os 2.74, 4 P 2.74
P (0.7500, 0.7500, 0.7500)  4 Sb 2.74, 4 P 2.74
Os (0.2500, 0.2500, 0.2500)  4 Sb 2.74, 4 P 2.74

Properties
ΔE_f (raw) in eV per atom: 0.9139
SG: F-43m
VASP energy in eV/atom: -31.571